First-principles (PBE) data for crystalline ScTe2Mo at its relaxed geometry, as listed in the Alexandria database.

Cell: 7.046 7.046 7.046 Å, 150.84 142.25 48.40°
Fractional coordinates of all 4 atoms:
Sc1 0.000 0.000 0.000
Te1 0.188 0.688 0.500
Te2 0.464 0.464 0.000
Mo1 0.633 0.133 0.500

Calculated values
Uncorrected formation energy ... -0.175 eV per atom
Calculated volume ... 25.988 Å³/atom
Crystal system ... orthorhombic
Space group ... Imm2, No. 44
Polymorph energy (0 for the lowest one) ... 107 kJ/mol of formula units
D(E_F) ... 2.98 states/eV per cell


First-principles (PBE) data for crystalline Sc2TeMo at its relaxed geometry, as listed in the Alexandria database.

Cell: 5.608 5.608 3.227 Å, 104.76 104.76 112.70°
Fractional coordinates of all 4 atoms:
Sc1 0.000 0.500 0.000
Sc2 0.500 0.000 0.000
Te1 0.000 0.000 0.500
Mo1 0.500 0.500 0.500

Calculated values
Uncorrected formation energy ... 0.016 eV per atom
Calculated volume ... 20.790 Å³/atom
Crystal system ... monoclinic
Space group ... C2/m, No. 12
D(E_F) ... 4.79 states/eV per cell


First-principles (PBE) data for crystalline ScTeMo4 at its relaxed geometry, as listed in the Alexandria database.

Cell: 5.362 5.362 5.362 Å, 60.00 60.00 60.00°
Fractional coordinates of all 6 atoms:
Sc1 0.000 0.000 0.000
Te1 0.750 0.750 0.750
Mo1 0.375 0.375 0.375
Mo2 0.375 0.375 0.874
Mo3 0.375 0.874 0.375
Mo4 0.874 0.375 0.375

Calculated values
Uncorrected formation energy ... 0.228 eV per atom
Calculated volume ... 18.170 Å³/atom
Crystal system ... cubic
Space group ... F-43m, No. 216
D(E_F) ... 4.10 states/eV per cell